Record 1
Entry from Alexandria via LeMat-Bulk: a relaxed structure of CoTc3 (PBE).

The structure in CIF format:
```
data_CoTc3
_space_group_name_H-M_alt 'P 63/m m c'
_space_group_IT_number 194
_space_group_name_Hall '-P 6c 2c'
_cell_length_a 5.3711
_cell_length_b 5.3711
_cell_length_c 8.6398
_cell_angle_alpha 90.00
_cell_angle_beta 90.00
_cell_angle_gamma 120.00
loop_
_atom_site_label
_atom_site_type_symbol
_atom_site_fract_x
_atom_site_fract_y
_atom_site_fract_z
Co1 Co 0.0000 0.0000 0.0000
Co2 Co 0.3333 0.6667 0.2500
Tc1 Tc 0.0000 0.5000 0.0000
Tc2 Tc 0.1651 0.3302 0.7500
```

Values from the calculation:
Energy of formation from the pure elements   -13 meV per atom
Fermi-level density of states   16.60 states/eV/cell
V   13.49 Å³/atom
E   -9.5641 eV/atom
Crystal system   hexagonal

***

Record 2
Entry from Alexandria via LeMat-Bulk: a relaxed structure of CoTc5 (PBE).

The structure in CIF format:
```
data_CoTc5
_space_group_name_H-M_alt 'P 6/m m m'
_space_group_IT_number 191
_space_group_name_Hall '-P 6 2'
_cell_length_a 4.9694
_cell_length_b 4.9694
_cell_length_c 4.5058
_cell_angle_alpha 90.00
_cell_angle_beta 90.00
_cell_angle_gamma 120.00
loop_
_atom_site_label
_atom_site_type_symbol
_atom_site_fract_x
_atom_site_fract_y
_atom_site_fract_z
Co1 Co 0.0000 0.0000 0.0000
Tc1 Tc 0.0000 0.5000 0.5000
Tc2 Tc 0.3333 0.6667 0.0000
```

Values from the calculation:
Energy of formation from the pure elements   680 meV per atom
Fermi-level density of states   6.55 states/eV/cell
V   16.06 Å³/atom
E   -9.1428 eV/atom
Crystal system   hexagonal

***

Record 3
Entry from Alexandria via LeMat-Bulk: a relaxed structure of Co3Tc (PBE).

The structure in CIF format:
```
data_Co3Tc
_space_group_name_H-M_alt 'P 4/m m m'
_space_group_IT_number 123
_space_group_name_Hall '-P 4 2'
_cell_length_a 2.577
_cell_length_b 2.577
_cell_length_c 7.068
_cell_angle_alpha 90.00
_cell_angle_beta 90.00
_cell_angle_gamma 90.00
loop_
_atom_site_label
_atom_site_type_symbol
_atom_site_fract_x
_atom_site_fract_y
_atom_site_fract_z
Co1 Co 0.000 0.000 0.000
Co2 Co 0.500 0.500 0.235
Tc1 Tc 0.000 0.000 0.500
```

Values from the calculation:
Energy of formation from the pure elements   70 meV per atom
Fermi-level density of states   5.35 states/eV/cell
V   11.73 Å³/atom
E   -7.8506 eV/atom
Crystal system   tetragonal